# 1
DFT (PBE) results for a geometry-optimized CrInPdAu structure.

Calculated values
Crystal system   cubic
M_tot   0.98 μB per atom
ΔE_f   -0.118 eV/atom

a b c (Å): 4.6228 4.6228 4.6228
angles (deg): 60.00 60.00 60.00
Last column: nearest neighbours and their distance in Å.
Fractional positions:
Cr: 0.0000 0.0000 0.0000  4 Au 2.83, 4 Pd 2.83
In: 0.5000 0.5000 0.5000  4 Au 2.83, 4 Pd 2.83
Pd: 0.2500 0.2500 0.2500  4 Cr 2.83, 4 In 2.83
Au: 0.7500 0.7500 0.7500  4 In 2.83, 4 Cr 2.83

---

# 2
DFT (PBE) results for a geometry-optimized CrInRhAu structure.

Calculated values
Crystal system   cubic
M_tot   0.97 μB per atom
ΔE_f   -0.024 eV/atom

a b c (Å): 4.5745 4.5745 4.5745
angles (deg): 60.00 60.00 60.00
Last column: nearest neighbours and their distance in Å.
Fractional positions:
Cr: 0.0000 0.0000 0.0000  4 Rh 2.80, 4 Au 2.80
In: 0.5000 0.5000 0.5000  4 Au 2.80, 4 Rh 2.80
Rh: 0.2500 0.2500 0.2500  4 In 2.80, 4 Cr 2.80
Au: 0.7500 0.7500 0.7500  4 Cr 2.80, 4 In 2.80

---

# 3
DFT (PBE) results for a geometry-optimized CrIn2AuS structure.

Calculated values
Formation energy without anion corrections   0.655 eV per atom
Crystal system   tetragonal
M_tot   1.03 μB per atom

a b c (Å): 5.3988 5.3988 4.9307
angles (deg): 90.00 90.00 90.00
Last column: nearest neighbours and their distance in Å.
Fractional positions:
Cr: 0.0000 0.0000 0.0000  8 In 3.66, 4 S 3.82
In: 0.0000 0.5000 0.5000  2 Au 2.70
In: 0.5000 0.0000 0.5000  2 Au 2.70
Au: 0.5000 0.5000 0.5000  2 S 2.47, 4 In 2.70
S: 0.5000 0.5000 0.0000  2 Au 2.47

---

# 4
DFT (PBE) results for a geometry-optimized ScCr2InAu structure.

Calculated values
Crystal system   tetragonal
M_tot   1.72 μB per atom
ΔE_f   1.053 eV/atom

a b c (Å): 5.0562 5.0562 5.0466
angles (deg): 90.00 90.00 90.00
Last column: nearest neighbours and their distance in Å.
Fractional positions:
Sc: 0.0000 0.0000 0.0000  8 Cr 3.57, 4 Au 3.58
Cr: 0.0000 0.5000 0.5000  2 In 2.53
Cr: 0.5000 0.0000 0.5000  2 In 2.53
In: 0.5000 0.5000 0.5000  2 Au 2.52, 4 Cr 2.53
Au: 0.5000 0.5000 0.0000  2 In 2.52

---

# 5
DFT (PBE) results for a geometry-optimized CrIn2Te6Au structure.

Calculated values
Formation energy without anion corrections   -0.122 eV per atom
Crystal system   monoclinic
M_tot   0.27 μB per atom

a b c (Å): 9.3607 9.3607 7.4152
angles (deg): 98.50 98.50 86.32
Last column: nearest neighbours and their distance in Å.
Fractional positions:
Cr: 0.0798 0.9202 0.7500  6 Te 2.75-2.78
Cr: 0.9202 0.0798 0.2500  6 Te 2.75-2.78
In: 0.2306 0.4240 0.7212  4 Te 2.83-2.99
In: 0.4240 0.2306 0.2212  4 Te 2.83-2.99
In: 0.5760 0.7694 0.7788  4 Te 2.83-2.99
In: 0.7694 0.5760 0.2788  4 Te 2.83-2.99
Te: 0.0306 0.1799 0.6080  2 Cr 2.75-2.78, 1 Au 2.89, 1 In 2.99
Te: 0.0825 0.6671 0.9025  1 Cr 2.77, 1 Au 2.82, 1 In 2.86
Te: 0.1799 0.0306 0.1080  2 Cr 2.75-2.78, 1 Au 2.89, 1 In 2.99
Te: 0.2618 0.4764 0.3633  2 In 2.83, 1 Au 2.87
Te: 0.3329 0.9175 0.5975  1 Cr 2.77, 1 Au 2.82, 1 In 2.86
Te: 0.4764 0.2618 0.8633  2 In 2.83, 1 Au 2.87
Te: 0.5236 0.7382 0.1367  2 In 2.83, 1 Au 2.87
Te: 0.6671 0.0825 0.4025  1 Cr 2.77, 1 Au 2.82, 1 In 2.86
Te: 0.7382 0.5236 0.6367  2 In 2.83, 1 Au 2.87
Te: 0.8201 0.9694 0.8920  2 Cr 2.75-2.78, 1 Au 2.89, 1 In 2.99
Te: 0.9175 0.3329 0.0975  1 Cr 2.77, 1 Au 2.82, 1 In 2.86
Te: 0.9694 0.8201 0.3920  2 Cr 2.75-2.78, 1 Au 2.89, 1 In 2.99
Au: 0.2416 0.7584 0.2500  6 Te 2.82-2.89
Au: 0.7584 0.2416 0.7500  6 Te 2.82-2.89

---

# 6
DFT (PBE) results for a geometry-optimized Cr2Ir2Au structure.

Calculated values
ΔE to the lowest computed polymorph   0.000 eV/atom
Crystal system   tetragonal
M_tot   0.00 μB per atom
ΔE_f   0.025 eV/atom

a b c (Å): 7.3640 7.3640 2.6914
angles (deg): 90.00 90.00 90.00
Last column: nearest neighbours and their distance in Å.
Fractional positions:
Cr: 0.1641 0.3359 0.0000  6 Ir 2.54-2.55, 2 Cr 2.69
Cr: 0.3359 0.8359 0.0000  6 Ir 2.54-2.55, 2 Cr 2.69
Cr: 0.6641 0.1641 0.0000  6 Ir 2.54-2.55, 2 Cr 2.69
Cr: 0.8359 0.6641 0.0000  6 Ir 2.54-2.55, 2 Cr 2.69
Ir: 0.1286 0.6286 0.5000  6 Cr 2.54-2.55, 3 Ir 2.68-2.69
Ir: 0.3714 0.1286 0.5000  6 Cr 2.54-2.55, 3 Ir 2.68-2.69
Ir: 0.6286 0.8714 0.5000  6 Cr 2.54-2.55, 3 Ir 2.68-2.69
Ir: 0.8714 0.3714 0.5000  6 Cr 2.54-2.55, 3 Ir 2.68-2.69
Au: 0.0000 0.0000 0.5000  2 Au 2.69, 4 Ir 2.89
Au: 0.5000 0.5000 0.5000  2 Au 2.69, 4 Ir 2.89

---

# 7
DFT (PBE) results for a geometry-optimized CrIrAu2 structure.

Calculated values
ΔE to the lowest computed polymorph   0.150 eV/atom
Crystal system   monoclinic
M_tot   0.72 μB per atom
ΔE_f   0.225 eV/atom

a b c (Å): 4.8704 4.8704 4.8547
angles (deg): 102.44 102.44 35.16
Last column: nearest neighbours and their distance in Å.
Fractional positions:
Cr: 0.0000 0.0000 0.0000  2 Ir 2.58, 4 Au 2.77-2.83
Ir: 0.7270 0.7270 0.2055  2 Cr 2.58, 5 Au 2.79-2.88
Au: 0.2473 0.2473 0.7280  5 Au 2.76-2.94, 4 Ir 2.79-2.90, 3 Cr 2.83-2.90
Au: 0.4865 0.4865 0.4776  5 Au 2.76-2.94, 4 Cr 2.77-2.91, 3 Ir 2.84-2.88

---

# 8
DFT (PBE) results for a geometry-optimized CrIrAu2 structure.

Calculated values
ΔE to the lowest computed polymorph   0.227 eV/atom
Crystal system   orthorhombic
M_tot   1.00 μB per atom
ΔE_f   0.302 eV/atom

a b c (Å): 4.7511 4.7511 3.0456
angles (deg): 90.00 90.00 107.61
Last column: nearest neighbours and their distance in Å.
Fractional positions:
Cr: 0.0000 0.0000 0.0000  2 Ir 2.81, 8 Au 2.82, 2 Cr 3.05
Ir: 0.5000 0.5000 0.0000  2 Cr 2.81, 8 Au 2.82, 2 Ir 3.05
Au: 0.0000 0.5000 0.5000  4 Au 2.81-3.05, 4 Ir 2.82, 4 Cr 2.82
Au: 0.5000 0.0000 0.5000  4 Au 2.81-3.05, 4 Ir 2.82, 4 Cr 2.82

---

# 9
DFT (PBE) results for a geometry-optimized CrIrAu2 structure.

Calculated values
ΔE to the lowest computed polymorph   0.324 eV/atom
Crystal system   tetragonal
M_tot   0.66 μB per atom
ΔE_f   0.398 eV/atom

a b c (Å): 2.9117 2.9117 7.6669
angles (deg): 90.00 90.00 90.00
Last column: nearest neighbours and their distance in Å.
Fractional positions:
Cr: 0.0000 0.0000 0.0000  8 Au 2.77, 4 Cr 2.91
Ir: 0.0000 0.0000 0.5000  8 Au 2.85, 4 Ir 2.91
Au: 0.5000 0.5000 0.2427  4 Cr 2.77, 4 Ir 2.85, 4 Au 2.91
Au: 0.5000 0.5000 0.7573  4 Cr 2.77, 4 Ir 2.85, 4 Au 2.91

---

# 10
DFT (PBE) results for a geometry-optimized CrIrAu2 structure.

Calculated values
ΔE to the lowest computed polymorph   0.182 eV/atom
Crystal system   tetragonal
M_tot   0.71 μB per atom
ΔE_f   0.257 eV/atom

a b c (Å): 4.9872 4.9872 4.9872
angles (deg): 133.49 133.49 67.89
Last column: nearest neighbours and their distance in Å.
Fractional positions:
Cr: 0.0000 0.0000 0.0000  4 Ir 2.78, 8 Au 2.86
Ir: 0.5000 0.5000 0.0000  4 Cr 2.78, 8 Au 2.86
Au: 0.2500 0.7500 0.5000  4 Au 2.78, 4 Cr 2.86, 4 Ir 2.86
Au: 0.7500 0.2500 0.5000  4 Au 2.78, 4 Cr 2.86, 4 Ir 2.86

---

# 11
DFT (PBE) results for a geometry-optimized CrIrAu2 structure.

Calculated values
ΔE to the lowest computed polymorph   0.135 eV/atom
Crystal system   tetragonal
M_tot   0.83 μB per atom
ΔE_f   0.210 eV/atom

a b c (Å): 3.9746 3.9746 4.0637
angles (deg): 90.00 90.00 90.00
Last column: nearest neighbours and their distance in Å.
Fractional positions:
Cr: 0.0000 0.0000 0.0000  4 Ir 2.81, 8 Au 2.84
Ir: 0.5000 0.5000 0.0000  4 Cr 2.81, 8 Au 2.84
Au: 0.0000 0.5000 0.5000  4 Au 2.81, 4 Cr 2.84, 4 Ir 2.84
Au: 0.5000 0.0000 0.5000  4 Au 2.81, 4 Cr 2.84, 4 Ir 2.84

---

# 12
DFT (PBE) results for a geometry-optimized CrIr3Au structure.

Calculated values
ΔE to the lowest computed polymorph   0.000 eV/atom
Crystal system   cubic
M_tot   0.00 μB per atom
ΔE_f   1.293 eV/atom

a b c (Å): 4.4812 4.4812 4.4812
angles (deg): 90.00 90.00 90.00
Last column: nearest neighbours and their distance in Å.
Fractional positions:
Cr: 0.0000 0.0000 0.0000  6 Ir 2.24
Ir: 0.0000 0.0000 0.5000  2 Cr 2.24
Ir: 0.0000 0.5000 0.0000  2 Cr 2.24
Ir: 0.5000 0.0000 0.0000  2 Cr 2.24
Au: 0.5000 0.5000 0.5000  12 Ir 3.17